Model P:
Below is a relaxed TlInICl crystal, with properties calculated at the PBE level.

Unit cell a=5.764 b=5.764 c=5.764 alpha=60.00 beta=60.00 gamma=60.00
Sites, in units of the cell vectors:
I: 0.750 0.750 0.750
In: 0.500 0.500 0.500
Cl: 0.250 0.250 0.250
Tl: 0.000 0.000 0.000

Properties
spin magnetization = 0.000 μB/f.u.
symmetry = No. 216

Model Q:
Below is a relaxed TlInICl crystal, with properties calculated at the PBE level.

Unit cell a=4.665 b=4.666 c=8.616 alpha=89.99 beta=105.72 gamma=119.98
Sites, in units of the cell vectors:
Tl: 0.455 0.126 0.596
Cl: 0.964 0.380 0.360
I: 0.306 0.551 0.872
In: 0.153 0.974 0.142

Properties
spin magnetization = 0.000 μB/f.u.
symmetry = No. 160

Most stable structure, least stable structure: model Q, model P.

Model P:
Below is a relaxed IrI3Cl crystal, with properties calculated at the PBE level.

Unit cell a=7.032 b=6.720 c=8.707 alpha=74.16 beta=72.79 gamma=106.24
Sites, in units of the cell vectors:
Cl: 0.825 0.645 0.885
Cl: 0.471 0.791 0.593
I: 0.278 0.070 0.876
I: 0.134 0.437 0.113
I: 0.575 0.352 0.349
I: 0.008 0.811 0.365
I: 0.915 0.207 0.602
I: 0.684 0.961 0.129
Ir: 0.790 0.082 0.374
Ir: 0.925 0.716 0.104

Properties
spin magnetization = 0.000 μB/f.u.
symmetry = No. 9

Model Q:
Below is a relaxed IrI3Cl crystal, with properties calculated at the PBE level.

Unit cell a=5.675 b=5.675 c=5.675 alpha=90.00 beta=90.00 gamma=90.00
Sites, in units of the cell vectors:
I: 0.000 0.000 0.500
I: 0.500 0.000 0.000
I: 0.000 0.500 0.000
Cl: 0.000 0.000 0.000
Ir: 0.500 0.500 0.500

Properties
spin magnetization = 2.960 μB/f.u.
symmetry = No. 221

Most stable structure, least stable structure: model P, model Q.

Model P:
Below is a relaxed IrI3Cl crystal, with properties calculated at the PBE level.

Unit cell a=5.410 b=5.410 c=5.410 alpha=90.00 beta=90.00 gamma=90.00
Sites, in units of the cell vectors:
Ir: 0.000 0.000 0.000
I: 0.000 0.000 0.500
I: 0.000 0.500 0.000
I: 0.500 0.000 0.000
Cl: 0.500 0.500 0.500

Properties
spin magnetization = 0.000 μB/f.u.
symmetry = No. 221

Model Q:
Below is a relaxed IrI3Cl crystal, with properties calculated at the PBE level.

Unit cell a=6.322 b=6.319 c=7.974 alpha=90.00 beta=90.00 gamma=95.44
Sites, in units of the cell vectors:
I: 0.588 0.175 0.302
I: 0.106 0.309 0.552
I: 0.972 0.791 0.302
I: 0.454 0.657 0.052
I: 0.972 0.791 0.802
I: 0.588 0.175 0.802
Cl: 0.045 0.248 0.052
Cl: 0.515 0.718 0.552
Ir: 0.798 0.000 0.552
Ir: 0.763 0.965 0.052

Properties
spin magnetization = 0.000 μB/f.u.
symmetry = No. 63

Most stable structure, least stable structure: model Q, model P.

Model P:
Below is a relaxed IrICl2 crystal, with properties calculated at the PBE level.

Unit cell a=10.812 b=10.812 c=10.812 alpha=19.20 beta=19.20 gamma=19.20
Sites, in units of the cell vectors:
Ir: 0.500 0.500 0.500
Cl: 0.126 0.126 0.126
Cl: 0.874 0.874 0.874
I: 0.000 0.000 0.000

Properties
spin magnetization = 0.843 μB/f.u.
symmetry = No. 166

Model Q:
Below is a relaxed IrICl2 crystal, with properties calculated at the PBE level.

Unit cell a=13.050 b=13.050 c=13.050 alpha=13.80 beta=13.80 gamma=13.80
Sites, in units of the cell vectors:
Cl: 0.057 0.057 0.057
Cl: 0.943 0.943 0.943
Ir: 0.000 0.000 0.000
I: 0.500 0.500 0.500

Properties
spin magnetization = 0.000 μB/f.u.
symmetry = No. 166

Most stable structure, least stable structure: model P, model Q.